Material: UPS4
Method: DFT, PBE
State: optimized geometry

```
6
Lattice="7.1890 -1.8789 0.0000 7.1890 1.8789 0.0000 -2.8849 0.0000 5.8797" Properties=species:S:1:pos:R:3 pbc="T T T"
U 0.0000 0.0000 0.0000
P 5.7466 0.0000 2.9399
S -0.7429 0.0000 4.4342
S 3.6373 0.0000 4.1496
S 7.8558 0.0000 1.7301
S 12.2360 0.0000 1.4455
```

## Properties
- size of the total moment (μB per formula unit) = 1.0
- space group = No. 12
- E (eV/atom) = -6.159
- calculated density (g/cm³) = 4.15

***

Material: K3BeC
Method: DFT, PBE
State: optimized geometry

```
5
Lattice="5.7537 0.0000 0.0000 0.0000 5.7537 0.0000 0.0000 0.0000 5.7537" Properties=species:S:1:pos:R:3 pbc="T T T"
K 0.0000 0.0000 2.8768
K 0.0000 2.8768 0.0000
K 2.8768 0.0000 0.0000
Be 2.8768 2.8768 2.8768
C 0.0000 0.0000 0.0000
```

## Properties
- size of the total moment (μB per formula unit) = 1.1
- space group = No. 221
- E (eV/atom) = -1.907
- calculated density (g/cm³) = 1.21
- E above lowest polymorph (meV/atom) = 0
- calculated formation energy (eV per atom) = 1.3412

***

Material: BaSrSmEu
Method: DFT, PBE
State: optimized geometry

```
4
Lattice="0.0000 4.5194 4.5194 4.5194 0.0000 4.5194 4.5194 4.5194 0.0000" Properties=species:S:1:pos:R:3 pbc="T T T"
Ba 0.0000 0.0000 0.0000
Sr 2.2597 2.2597 2.2597
Sm 4.5194 4.5194 4.5194
Eu 6.7792 6.7792 6.7792
```

## Properties
- size of the total moment (μB per formula unit) = 7.5
- space group = No. 216
- E (eV/atom) = -4.474
- calculated density (g/cm³) = 4.74
- calculated formation energy (eV per atom) = 0.1754

***

no.,DOS(E_F) (states/eV/f.u.)
1,3.94
2,2.31
3,4.88